No. 1
Entry from Alexandria via LeMat-Bulk: crystalline LaNbO2 at its relaxed geometry (PBE).

- density of states at the Fermi level (states/eV per atom) = 0.920
- magnetic moment (μB per formula unit) = 0.52
- calculated total energy (eV/cell) = -32.3
- polymorph energy (0 for the lowest one) (meV/atom) = 355

a b c (Å): 6.458 6.458 6.458
angles (deg): 31.79 31.79 31.79
Each line ends with the local moment (μB).
Atoms (fractional coordinates):
O (0.127, 0.127, 0.127)  0.00
O (0.873, 0.873, 0.873)  0.00
Nb (0.500, 0.500, 0.500)  0.48
La (0.000, 0.000, 0.000)  -0.01

No. 2
Entry from Alexandria via LeMat-Bulk: crystalline La2Nb2O at its relaxed geometry (PBE).

- density of states at the Fermi level (states/eV per atom) = 0.568
- magnetic moment (μB per formula unit) = 0.00
- calculated total energy (eV/cell) = -71.9
- polymorph energy (0 for the lowest one) (meV/atom) = 72

a b c (Å): 6.636 6.636 5.734
angles (deg): 90.00 90.00 90.00
Atoms (fractional coordinates):
Nb (0.119, 0.619, 0.500)
Nb (0.381, 0.119, 0.500)
O (0.500, 0.500, 0.000)
La (0.181, 0.319, 0.000)
La (0.319, 0.819, 0.000)
Nb (0.619, 0.881, 0.500)
O (0.000, 0.000, 0.000)
Nb (0.881, 0.381, 0.500)
La (0.681, 0.181, 0.000)
La (0.819, 0.681, 0.000)

No. 3
Entry from Alexandria via LeMat-Bulk: crystalline LaNbP2O at its relaxed geometry (PBE).

- density of states at the Fermi level (states/eV per atom) = 0.283
- magnetic moment (μB per formula unit) = 0.00
- calculated total energy (eV/cell) = -37.6
- polymorph energy (0 for the lowest one) (meV/atom) = 0

a b c (Å): 4.967 4.967 3.973
angles (deg): 90.00 90.00 90.00
Atoms (fractional coordinates):
La (0.500, 0.500, 0.500)
P (0.500, 0.000, 0.000)
P (0.000, 0.500, 0.000)
O (0.000, 0.000, 0.500)
Nb (0.000, 0.000, 0.000)

No. 4
Entry from Alexandria via LeMat-Bulk: crystalline LaNbP2O at its relaxed geometry (PBE).

- density of states at the Fermi level (states/eV per atom) = 1.172
- magnetic moment (μB per formula unit) = 0.00
- calculated total energy (eV/cell) = -28.9
- polymorph energy (0 for the lowest one) (meV/atom) = 1746

a b c (Å): 5.401 5.401 4.027
angles (deg): 90.00 90.00 90.00
Atoms (fractional coordinates):
O (0.000, 0.000, 0.500)
P (0.000, 0.500, 0.000)
La (0.000, 0.000, 0.000)
Nb (0.500, 0.500, 0.500)
P (0.500, 0.000, 0.000)

No. 5
Entry from Alexandria via LeMat-Bulk: crystalline LaPrNb2O8 at its relaxed geometry (PBE).

- density of states at the Fermi level (states/eV per atom) = 0.000
- magnetic moment (μB per formula unit) = 0.00
- calculated total energy (eV/cell) = -106.4

a b c (Å): 5.428 5.428 6.992
angles (deg): 112.84 112.84 90.00
Atoms (fractional coordinates):
O (0.089, 0.999, 0.671)
O (0.166, 0.573, 0.827)
Nb (0.500, 0.500, 0.000)
O (0.427, 0.339, 0.173)
Nb (0.250, 0.750, 0.500)
O (0.328, 0.911, 0.329)
La (0.000, 0.000, 0.000)
Pr (0.750, 0.250, 0.500)
O (0.583, 0.672, 0.671)
O (0.001, 0.417, 0.329)
O (0.661, 0.253, 0.827)
O (0.747, 0.834, 0.173)

No. 6
Entry from Alexandria via LeMat-Bulk: crystalline LaPu2NbO8 at its relaxed geometry (PBE).

- density of states at the Fermi level (states/eV per atom) = 0.804
- magnetic moment (μB per formula unit) = 8.00
- calculated total energy (eV/cell) = -118.9

a b c (Å): 5.093 5.096 7.001
angles (deg): 90.00 90.00 89.61
Each line ends with the local moment (μB).
Atoms (fractional coordinates):
O (0.291, 0.291, 0.000)  -0.09
O (0.709, 0.709, 0.000)  -0.09
Pu (0.500, 0.500, 0.757)  4.19
O (0.189, 0.811, 0.213)  -0.04
Pu (0.500, 0.500, 0.243)  4.19
O (0.811, 0.189, 0.787)  -0.04
Nb (0.000, 0.000, 0.000)  0.10
La (0.000, 0.000, 0.500)  0.01
O (0.189, 0.811, 0.787)  -0.04
O (0.811, 0.189, 0.213)  -0.04
O (0.325, 0.326, 0.500)  -0.11
O (0.675, 0.674, 0.500)  -0.11

- What is the formula in the fourth record?
  LaNbP2O

What did the fourth record say?
Entry from Alexandria via LeMat-Bulk: crystalline LaNbP2O at its relaxed geometry (PBE).

- density of states at the Fermi level (states/eV per atom) = 1.172
- magnetic moment (μB per formula unit) = 0.00
- calculated total energy (eV/cell) = -28.9
- polymorph energy (0 for the lowest one) (meV/atom) = 1746

a b c (Å): 5.401 5.401 4.027
angles (deg): 90.00 90.00 90.00
Atoms (fractional coordinates):
O (0.000, 0.000, 0.500)
P (0.000, 0.500, 0.000)
La (0.000, 0.000, 0.000)
Nb (0.500, 0.500, 0.500)
P (0.500, 0.000, 0.000)